This record from the Alexandria database describes an optimized crystal structure of SrY2MoBr. The functional is PBE.

Unit cell a=5.531 b=5.531 c=4.782 alpha=90.00 beta=90.00 gamma=90.00
Fractional coordinates of all 5 atoms:
Sr 0.000 0.000 0.000
Y 0.000 0.500 0.500
Y 0.500 0.000 0.500
Mo 0.500 0.500 0.000
Br 0.500 0.500 0.500

Values from the calculation:
N(E_F) in states/eV per cell: 6.7
V in Å³ per cell: 146.29
DFT total energy in eV for the cell shown: -25.3
Formation energy without anion corrections in kcal/mol of atoms: 8.255

=====

This record from the Alexandria database describes an optimized crystal structure of K3NdSe4O12. The functional is PBE.

Unit cell a=7.748 b=7.748 c=7.748 alpha=106.36 beta=106.36 gamma=106.36
Fractional coordinates of all 20 atoms:
K 0.000 0.529 0.471
K 0.471 0.000 0.529
K 0.529 0.471 0.000
Nd 0.000 0.000 0.000
Se 0.040 0.500 0.960
Se 0.500 0.500 0.500
Se 0.500 0.960 0.040
Se 0.960 0.040 0.500
O 0.025 0.148 0.331
O 0.095 0.905 0.500
O 0.148 0.331 0.025
O 0.331 0.025 0.148
O 0.367 0.633 0.500
O 0.500 0.095 0.905
O 0.500 0.367 0.633
O 0.633 0.500 0.367
O 0.669 0.852 0.975
O 0.852 0.975 0.669
O 0.905 0.500 0.095
O 0.975 0.669 0.852

Values from the calculation:
N(E_F) in states/eV per cell: 7.3
V in Å³ per cell: 393.94
DFT total energy in eV for the cell shown: -102.5
Formation energy without anion corrections in kcal/mol of atoms: -24.246

=====

This record from the Alexandria database describes an optimized crystal structure of Re2IrBr. The functional is PBE.

Unit cell a=8.914 b=8.914 c=8.914 alpha=18.54 beta=18.54 gamma=18.54
Fractional coordinates of all 4 atoms:
Re 0.249 0.249 0.249
Re 0.751 0.751 0.751
Ir 0.500 0.500 0.500
Br 0.000 0.000 0.000

Values from the calculation:
N(E_F) in states/eV per cell: 3.7
Offset from the most stable computed form in meV per atom: 178.9
V in Å³ per cell: 62.55
DFT total energy in eV for the cell shown: -32.6
Formation energy without anion corrections in kcal/mol of atoms: 16.277

=====

This record from the Alexandria database describes an optimized crystal structure of LiTmPuCo. The functional is PBE.

Unit cell a=4.799 b=4.799 c=4.799 alpha=60.00 beta=60.00 gamma=60.00
Fractional coordinates of all 4 atoms:
Li 0.000 0.000 0.000
Tm 0.250 0.250 0.250
Pu 0.750 0.750 0.750
Co 0.500 0.500 0.500

Values from the calculation:
N(E_F) in states/eV per cell: 8.0
Calculated formation energy in eV/f.u.: 0.3
V in Å³ per cell: 78.15
DFT total energy in eV for the cell shown: -27.5

=====

This record from the Alexandria database describes an optimized crystal structure of TiBPCl2. The functional is PBE.

Unit cell a=5.390 b=5.390 c=3.392 alpha=90.00 beta=90.00 gamma=90.00
Fractional coordinates of all 5 atoms:
Ti 0.000 0.000 0.000
B 0.500 0.500 0.000
P 0.500 0.500 0.500
Cl 0.000 0.500 0.500
Cl 0.500 0.000 0.500

Values from the calculation:
N(E_F) in states/eV per cell: 9.7
Offset from the most stable computed form in meV per atom: 289.2
V in Å³ per cell: 98.54
DFT total energy in eV for the cell shown: -20.2
Formation energy without anion corrections in kcal/mol of atoms: 16.164

=====

This record from the Alexandria database describes an optimized crystal structure of GeTePd4. The functional is PBE.

Unit cell a=7.343 b=5.602 c=5.597 alpha=90.00 beta=96.74 gamma=90.00
Fractional coordinates of all 12 atoms:
Ge 0.000 0.000 0.000
Ge 0.000 0.500 0.500
Te 0.500 0.000 0.500
Te 0.500 0.500 0.000
Pd 0.172 0.172 0.365
Pd 0.172 0.328 0.865
Pd 0.230 0.685 0.238
Pd 0.230 0.815 0.738
Pd 0.770 0.185 0.262
Pd 0.770 0.315 0.762
Pd 0.828 0.672 0.135
Pd 0.828 0.828 0.635

Values from the calculation:
N(E_F) in states/eV per cell: 4.6
Offset from the most stable computed form in meV per atom: 101.2
V in Å³ per cell: 228.66
DFT total energy in eV for the cell shown: -60.7
Formation energy without anion corrections in kcal/mol of atoms: -6.915